Below is CeGdCoNi after structural relaxation, with properties calculated at the PBE level.

Cell lengths 4.792, 4.792, 4.792 Å; angles 60.00, 60.00, 60.00 degrees
Fractional coordinates of all 4 atoms:
Ce: 0.000 0.000 0.000
Gd: 0.500 0.500 0.500
Ni: 0.250 0.250 0.250
Co: 0.750 0.750 0.750

Summary:
Its symmetry is F-43m (216). For the formation energy, the calculation gives -0.18 eV/atom. The spin magnetization is 7.18 μB/f.u. As for the density of states at the Fermi level: 1.731 states/eV per atom.